[1]
CsTl4Bi2 | PBE | relaxed

```
data_CsTl4Bi2
_cell_length_a 5.7795
_cell_length_b 17.8204
_cell_length_c 5.2317
_cell_angle_alpha 90.00
_cell_angle_beta 90.00
_cell_angle_gamma 90.00
_symmetry_space_group_name_H-M 'C m m m'
_symmetry_Int_Tables_number 65
_symmetry_space_group_name_Hall '-C 2 2'
loop_
_atom_site_label
_atom_site_fract_x
_atom_site_fract_y
_atom_site_fract_z
Cs1 0.0000 0.0000 0.0000
Tl1 0.0000 0.1871 0.5000
Tl2 0.0000 0.3036 0.0000
Bi1 0.0000 0.4104 0.5000
```

Properties
**N(E_F)**: 5.8 states/eV per cell
**ΔE_f**: -120.2 meV per atom



[2]
AgW | PBE | relaxed

```
data_AgW
_cell_length_a 2.7214
_cell_length_b 2.7214
_cell_length_c 9.0693
_cell_angle_alpha 90.00
_cell_angle_beta 90.00
_cell_angle_gamma 90.00
_symmetry_space_group_name_H-M 'P 4/n m m'
_symmetry_Int_Tables_number 129
loop_
_symmetry_equiv_pos_as_xyz
'x,y,z'
'-x,-y,-z'
'-y+1/2,x,z'
'y+1/2,-x,-z'
'-x+1/2,-y+1/2,z'
'x+1/2,y+1/2,-z'
'y,-x+1/2,z'
'-y,x+1/2,-z'
'x+1/2,-y,-z'
'-x+1/2,y,z'
'-y,-x,-z'
'y,x,z'
'-x,y+1/2,-z'
'x,-y+1/2,z'
'y+1/2,x+1/2,-z'
'-y+1/2,-x+1/2,z'
loop_
_atom_site_label
_atom_site_fract_x
_atom_site_fract_y
_atom_site_fract_z
Ag1 0.2500 0.2500 0.1273
W1 0.2500 0.2500 0.6238
```

Properties
**Distance to the lowest polymorph of the same formula**: 26.0 kJ/mol of formula units
**N(E_F)**: 2.1 states/eV per cell
**ΔE_f**: 477.9 meV per atom



[3]
YTaCr2 | PBE | relaxed

```
data_YTaCr2
_cell_length_a 5.9863
_cell_length_b 8.4594
_cell_length_c 2.8695
_cell_angle_alpha 90.00
_cell_angle_beta 110.04
_cell_angle_gamma 90.00
_symmetry_space_group_name_H-M 'C 1 2/m 1'
_symmetry_Int_Tables_number 12
loop_
_symmetry_equiv_pos_as_xyz
'x,y,z'
'-x,-y,-z'
'-x,y,-z'
'x,-y,z'
'x+1/2,y+1/2,z'
'-x+1/2,-y+1/2,-z'
'-x+1/2,y+1/2,-z'
'x+1/2,-y+1/2,z'
loop_
_atom_site_label
_atom_site_fract_x
_atom_site_fract_y
_atom_site_fract_z
Y1 0.0000 0.0000 0.0000
Ta1 0.0000 0.5000 0.0000
Cr1 0.2500 0.2500 0.5000
```

Properties
**Distance to the lowest polymorph of the same formula**: 152.5 kJ/mol of formula units
**N(E_F)**: 11.8 states/eV per cell
**ΔE_f**: 700.0 meV per atom



[4]
Tc2NiRu | PBE | relaxed

```
data_Tc2NiRu
_cell_length_a 2.6978
_cell_length_b 2.6978
_cell_length_c 26.0401
_cell_angle_alpha 90.00
_cell_angle_beta 90.00
_cell_angle_gamma 120.00
_symmetry_space_group_name_H-M 'R -3 m'
_symmetry_Int_Tables_number 166
_symmetry_space_group_name_Hall '-R 3 2"'
loop_
_atom_site_label
_atom_site_fract_x
_atom_site_fract_y
_atom_site_fract_z
Tc1 0.0000 0.0000 0.2482
Ni1 0.0000 0.0000 0.5000
Ru1 0.0000 0.0000 0.0000
```

Properties
**Distance to the lowest polymorph of the same formula**: 68.6 kJ/mol of formula units
**N(E_F)**: 20.9 states/eV per cell
**ΔE_f**: 129.2 meV per atom